8
Lattice="4.591 0.000 0.000 0.000 4.591 0.000 2.296 2.296 9.375" Properties=species:S:1:pos:R:3 comment="PBE KCo2Ag, optimized geometry" total_magnetization_mub_per_cell=7.4 volume_a3_per_atom=24.7 delta_e_f_ev_per_atom=0.921 density_g_cm3=4.451 relative_energy_mev_per_atom=414 pbc="T T T"
K 2.296 2.296 0.000
K 2.296 4.591 4.688
Co 4.630 1.148 2.344
Co 4.552 3.443 2.344
Co 3.443 2.256 7.031
Co 5.739 2.335 7.031
Ag 0.000 0.000 0.000
Ag 4.591 2.296 4.688